Entry 1:
The following is a GGA-PBEsol calculation of an optimized crystal structure of RbMg3, from the Alexandria database.

The formation energy is 0.885 eV/f.u. The total DFT energy (no corrections) comes out at -1.323 eV/atom. As for the density of states at the Fermi level: 2.401 states/eV per cell.

a = 3.357 Å, b = 5.482 Å, c = 7.653 Å
α = 95.97°, β = 90.00°, γ = 107.83°
Element x y z (fractional)
1 Mg 0.765 0.529 0.333
2 Mg 0.500 0.000 0.500
3 Mg 0.235 0.471 0.667
4 Rb 0.000 0.000 0.000

***

Entry 2:
The following is a GGA-PBEsol calculation of an optimized crystal structure of RbMg2, from the Alexandria database.

The formation energy is 0.485 eV/f.u. The total DFT energy (no corrections) comes out at -1.325 eV/atom. As for the density of states at the Fermi level: 3.043 states/eV per cell.

a = 3.549 Å, b = 4.945 Å, c = 13.575 Å
α = 90.00°, β = 97.51°, γ = 90.00°
Element x y z (fractional)
1 Mg 0.441 0.750 0.882
2 Mg 0.039 0.750 0.078
3 Mg 0.961 0.250 0.922
4 Mg 0.559 0.250 0.118
5 Rb 0.672 0.750 0.344
6 Rb 0.328 0.250 0.656

***

What is the formula in the first record? RbMg3

***

What did the first record say?
The following is a GGA-PBEsol calculation of an optimized crystal structure of RbMg3, from the Alexandria database.

The formation energy is 0.885 eV/f.u. The total DFT energy (no corrections) comes out at -1.323 eV/atom. As for the density of states at the Fermi level: 2.401 states/eV per cell.

a = 3.357 Å, b = 5.482 Å, c = 7.653 Å
α = 95.97°, β = 90.00°, γ = 107.83°
Element x y z (fractional)
1 Mg 0.765 0.529 0.333
2 Mg 0.500 0.000 0.500
3 Mg 0.235 0.471 0.667
4 Rb 0.000 0.000 0.000

***

What is the formula in the second record? RbMg2